Record 1
A relaxed HoNiAu crystal, computed with GGA-PBE.

abc: 4.3967 4.3967 7.5350
angles: 107.06 107.06 59.97
Sites, in units of the cell vectors:
Ho 0.2417 0.2417 0.2249
Ho 0.7583 0.7583 0.7751
Ni 0.3678 0.3678 0.6045
Ni 0.6322 0.6322 0.3955
Au 0.0000 0.0000 0.5000
Au 0.5000 0.5000 0.0000

Summary:
- Space-group type: C2/m
- Calculated volume: 19.8 A^3/atom
- ΔH_f (0 K): -576 meV/atom

***

Record 2
A relaxed HoNiAu crystal, computed with GGA-PBE.

abc: 6.1654 5.3210 7.4009
angles: 90.00 111.28 90.00
Sites, in units of the cell vectors:
Ho 0.1888 0.1163 0.3744
Ho 0.1888 0.3837 0.8744
Ho 0.8112 0.6163 0.1256
Ho 0.8112 0.8837 0.6256
Ni 0.1626 0.6220 0.5172
Ni 0.1626 0.8780 0.0172
Ni 0.8374 0.1220 0.9828
Ni 0.8374 0.3780 0.4828
Au 0.4097 0.5917 0.2943
Au 0.4097 0.9083 0.7943
Au 0.5903 0.0917 0.2057
Au 0.5903 0.4083 0.7057

Summary:
- Space-group type: P2_1/c
- Calculated volume: 18.9 A^3/atom
- ΔH_f (0 K): -620 meV/atom

***

Record 3
A relaxed HoNiAu crystal, computed with GGA-PBE.

abc: 4.3779 4.3779 3.5468
angles: 90.00 90.00 120.00
Sites, in units of the cell vectors:
Ho 0.0000 0.0000 0.0000
Ni 0.6667 0.3333 0.5000
Au 0.3333 0.6667 0.5000

Summary:
- Space-group type: P-6m2
- Calculated volume: 19.6 A^3/atom
- ΔH_f (0 K): -549 meV/atom

***

Record 4
A relaxed Ho2Ni2Au crystal, computed with GGA-PBE.

abc: 7.1129 7.1129 3.5901
angles: 90.00 90.00 148.35
Sites, in units of the cell vectors:
Ho 0.1308 0.8692 0.0000
Ho 0.8692 0.1308 0.0000
Ni 0.3017 0.6983 0.5000
Ni 0.6983 0.3017 0.5000
Au 0.5000 0.5000 0.5000

Summary:
- Space-group type: Cmmm
- Calculated volume: 19.1 A^3/atom
- Energy relative to the lowest polymorph listed for this composition: 0.000 eV per atom
- ΔH_f (0 K): -631 meV/atom

***

Record 5
A relaxed Ho8Ni3Au2 crystal, computed with GGA-PBE.

abc: 8.0842 8.0842 6.7809
angles: 105.38 105.38 53.00
Sites, in units of the cell vectors:
Ho 0.0948 0.0948 0.4110
Ho 0.1413 0.6320 0.1156
Ho 0.3598 0.3598 0.6247
Ho 0.3680 0.8587 0.8844
Ho 0.6320 0.1413 0.1156
Ho 0.6402 0.6402 0.3753
Ho 0.8587 0.3680 0.8844
Ho 0.9052 0.9052 0.5890
Ni 0.3143 0.6857 0.5000
Ni 0.5000 0.5000 0.0000
Ni 0.6857 0.3143 0.5000
Au 0.2373 0.2373 0.1884
Au 0.7627 0.7627 0.8116

Summary:
- Space-group type: C2/m
- Calculated volume: 26.0 A^3/atom
- ΔH_f (0 K): -368 meV/atom

***

Record 6
A relaxed Ho5NiAu4 crystal, computed with GGA-PBE.

abc: 3.5299 3.5299 17.9018
angles: 90.00 90.00 90.00
Sites, in units of the cell vectors:
Ho 0.0000 0.0000 0.0000
Ho 0.0000 0.0000 0.2049
Ho 0.0000 0.0000 0.4092
Ho 0.0000 0.0000 0.5908
Ho 0.0000 0.0000 0.7951
Ni 0.5000 0.5000 0.5000
Au 0.5000 0.5000 0.1022
Au 0.5000 0.5000 0.3064
Au 0.5000 0.5000 0.6936
Au 0.5000 0.5000 0.8978

Summary:
- Space-group type: P4/mmm
- Calculated volume: 22.3 A^3/atom
- ΔH_f (0 K): -774 meV/atom

***

Record 7
A relaxed HoNi4Au8 crystal, computed with GGA-PBE.

abc: 6.9338 6.9338 6.9338
angles: 98.40 98.40 135.07
Sites, in units of the cell vectors:
Ho 0.0000 0.0000 0.0000
Ni 0.0000 0.0000 0.5000
Ni 0.0000 0.5000 0.0000
Ni 0.5000 0.0000 0.0000
Ni 0.5000 0.5000 0.5000
Au 0.0000 0.3307 0.3307
Au 0.0000 0.6693 0.6693
Au 0.2805 0.5000 0.7805
Au 0.3307 0.0000 0.3307
Au 0.5000 0.2805 0.7805
Au 0.5000 0.7195 0.2195
Au 0.6693 0.0000 0.6693
Au 0.7195 0.5000 0.2195

Summary:
- Space-group type: I4/mmm
- Calculated volume: 16.7 A^3/atom
- ΔH_f (0 K): -195 meV/atom

***

Record 8
A relaxed Ho7Ni2Au2 crystal, computed with GGA-PBE.

abc: 6.6127 6.6127 6.8709
angles: 90.00 90.00 109.10
Sites, in units of the cell vectors:
Ho 0.0000 0.0000 0.0000
Ho 0.0000 0.5000 0.2523
Ho 0.0000 0.5000 0.7477
Ho 0.5000 0.0000 0.2523
Ho 0.5000 0.0000 0.7477
Ho 0.5000 0.5000 0.2465
Ho 0.5000 0.5000 0.7535
Ni 0.2929 0.7071 0.0000
Ni 0.7071 0.2929 0.0000
Au 0.1891 0.1891 0.5000
Au 0.8109 0.8109 0.5000

Summary:
- Space-group type: Cmmm
- Calculated volume: 25.8 A^3/atom
- ΔH_f (0 K): -339 meV/atom

***

Number 1: D(E_F) 1.505 states/eV/f.u., spin magnetization 0.0 μB per cell. Number 2: D(E_F) 2.135 states/eV/f.u., spin magnetization 0.0 μB per cell. Number 3: D(E_F) 2.035 states/eV/f.u., spin magnetization 0.0 μB per cell. Number 4: D(E_F) 3.746 states/eV/f.u., spin magnetization 0.0 μB per cell. Number 5: D(E_F) 11.653 states/eV/f.u., spin magnetization 0.0 μB per cell. Number 6: D(E_F) 4.979 states/eV/f.u., spin magnetization 0.0 μB per cell. Number 7: D(E_F) 9.095 states/eV/f.u., spin magnetization 0.0 μB per cell. Number 8: D(E_F) 10.782 states/eV/f.u., spin magnetization 0.0 μB per cell.